An optimized crystal structure of KCd2Fe, computed with PBE-GGA.

Output
Energy of formation: 0.53 eV/atom

```
data_KCd2Fe
_chemical_formula_sum 'K2 Cd4 Fe2'
_cell_length_a 3.008
_cell_length_b 5.524
_cell_length_c 11.484
_cell_angle_alpha 90.00
_cell_angle_beta 90.00
_cell_angle_gamma 90.00
_space_group_name_H-M_alt 'I m m 2'
_space_group_IT_number 44
_space_group_name_Hall 'I 2 -2'
loop_
_atom_site_label
_atom_site_type_symbol
_atom_site_fract_x
_atom_site_fract_y
_atom_site_fract_z
K1 K 0.000 0.000 0.000
Cd1 Cd 0.000 0.000 0.543
Cd2 Cd 0.000 0.500 0.791
Fe1 Fe 0.000 0.500 0.237
```